Material: GeOsC2
Method: DFT, PBE-GGA
State: optimized geometry

abc: 4.6402 4.6402 5.7471
angles: 66.19 66.19 90.00
Sites, in units of the cell vectors:
Ge  0.2500  0.7500  0.5000
Ge  0.5000  0.5000  0.0000
Os  0.7500  0.2500  0.5000
Os  0.0000  0.0000  0.0000
C  0.8750  0.8856  0.7500
C  0.6356  0.1250  0.2500
C  0.3750  0.3644  0.7500
C  0.1144  0.6250  0.2500

Symmetry   I-42d (122)
Calculated formation energy   0.87 eV/atom